[1]
## Co5Hg3Br12 (PBE)

Data for a relaxed Co5Hg3Br12 crystal.

Lattice parameters (Å, degrees): 14.147 14.147 14.147 109.47 109.47 109.47
Positions (direct):
1 Co 0.000 0.000 0.000
2 Co 0.000 0.000 0.500
3 Co 0.000 0.500 0.000
4 Co 0.000 0.500 0.500
5 Co 0.125 0.750 0.875
6 Co 0.125 0.875 0.250
7 Co 0.250 0.125 0.875
8 Co 0.250 0.625 0.375
9 Co 0.375 0.250 0.625
10 Co 0.375 0.625 0.750
11 Co 0.500 0.000 0.000
12 Co 0.500 0.000 0.500
13 Co 0.500 0.500 0.000
14 Co 0.500 0.500 0.500
15 Co 0.625 0.375 0.250
16 Co 0.625 0.750 0.375
17 Co 0.750 0.375 0.625
18 Co 0.750 0.875 0.125
19 Co 0.875 0.125 0.750
20 Co 0.875 0.250 0.125
21 Hg 0.125 0.250 0.375
22 Hg 0.125 0.375 0.750
23 Hg 0.250 0.375 0.125
24 Hg 0.250 0.875 0.625
25 Hg 0.375 0.125 0.250
26 Hg 0.375 0.750 0.125
27 Hg 0.625 0.250 0.875
28 Hg 0.625 0.875 0.750
29 Hg 0.750 0.125 0.375
30 Hg 0.750 0.625 0.875
31 Hg 0.875 0.625 0.250
32 Hg 0.875 0.750 0.625
33 Br 0.014 0.193 0.117
34 Br 0.014 0.321 0.897
35 Br 0.076 0.693 0.679
36 Br 0.076 0.883 0.397
37 Br 0.103 0.617 0.424
38 Br 0.103 0.986 0.679
39 Br 0.117 0.014 0.193
40 Br 0.117 0.603 0.924
41 Br 0.179 0.193 0.576
42 Br 0.179 0.486 0.603
43 Br 0.193 0.117 0.014
44 Br 0.193 0.576 0.179
45 Br 0.307 0.321 0.924
46 Br 0.307 0.486 0.383
47 Br 0.321 0.897 0.014
48 Br 0.321 0.924 0.307
49 Br 0.383 0.307 0.486
50 Br 0.383 0.576 0.897
51 Br 0.397 0.076 0.883
52 Br 0.397 0.821 0.514
53 Br 0.424 0.103 0.617
54 Br 0.424 0.821 0.807
55 Br 0.486 0.383 0.307
56 Br 0.486 0.603 0.179
57 Br 0.514 0.397 0.821
58 Br 0.514 0.617 0.693
59 Br 0.576 0.179 0.193
60 Br 0.576 0.897 0.383
61 Br 0.603 0.179 0.486
62 Br 0.603 0.924 0.117
63 Br 0.617 0.424 0.103
64 Br 0.617 0.693 0.514
65 Br 0.679 0.076 0.693
66 Br 0.679 0.103 0.986
67 Br 0.693 0.514 0.617
68 Br 0.693 0.679 0.076
69 Br 0.807 0.424 0.821
70 Br 0.807 0.883 0.986
71 Br 0.821 0.514 0.397
72 Br 0.821 0.807 0.424
73 Br 0.883 0.397 0.076
74 Br 0.883 0.986 0.807
75 Br 0.897 0.014 0.321
76 Br 0.897 0.383 0.576
77 Br 0.924 0.117 0.603
78 Br 0.924 0.307 0.321
79 Br 0.986 0.679 0.103
80 Br 0.986 0.807 0.883

Values from the calculation:
DOS(E_F) in states/eV per cell: 51.40
E_form (uncorrected) in meV/atom: -189
Uncorrected energy in Ry/atom: -0.222


[2]
## CoHgBr (PBE)

Data for a relaxed CoHgBr crystal.

Lattice parameters (Å, degrees): 7.283 6.837 3.557 82.48 68.55 28.96
Positions (direct):
1 Co 0.000 0.000 0.000
2 Hg 0.650 0.650 0.350
3 Br 0.378 0.378 0.622

Values from the calculation:
DOS(E_F) in states/eV per cell: 3.61
E_form (uncorrected) in meV/atom: 335
ΔE to the lowest computed polymorph in eV per atom: 0.1999
Uncorrected energy in Ry/atom: -0.198


- What is the DOS(E_F) in the second record?
  3.61 states/eV per cell